# ErLuTlCo

ErLuTlCo after structural relaxation (PBE-GGA, the Alexandria database).

extended XYZ file:
```
4
Lattice="5.026 0.000 0.000 2.513 4.353 0.000 2.513 1.451 4.104" Properties=species:S:1:pos:R:3 pbc="T T T"
Tl 7.540 4.353 3.078
Lu 0.000 0.000 0.000
Co 2.513 1.451 1.026
Er 5.026 2.902 2.052
```

Values from the calculation:
SG: F-43m, No. 216
Total DFT energy (no corrections), eV for the cell shown: -19.10
Formation enthalpy at 0 K, eV per atom: -0.135

***

# ErMgCo

ErMgCo after structural relaxation (PBE-GGA, the Alexandria database).

extended XYZ file:
```
6
Lattice="-0.639 0.602 3.922 -4.900 -1.771 1.538 1.073 -5.442 3.076" Properties=species:S:1:pos:R:3 pbc="T T T"
Er -1.912 -1.466 3.783
Er -4.162 -6.438 6.247
Mg -2.131 -3.830 6.173
Mg -3.943 -4.075 3.855
Co -4.162 -2.006 5.563
Co -1.911 -5.899 4.467
```

Values from the calculation:
SG: C2/m, No. 12
Total DFT energy (no corrections), eV for the cell shown: -27.54
Formation enthalpy at 0 K, eV per atom: -0.169

***

# Er4MgCo

Er4MgCo after structural relaxation (PBE-GGA, the Alexandria database).

extended XYZ file:
```
24
Lattice="-4.648 2.554 -7.865 -5.484 -6.283 -4.520 -9.436 0.955 0.167" Properties=species:S:1:pos:R:3 pbc="T T T"
Er -11.627 -1.648 -7.260
Er -8.073 -2.008 -7.322
Er -9.561 0.718 -5.557
Er -9.876 -2.610 -4.297
Er -6.809 -2.164 -2.399
Er -2.976 0.777 -3.710
Er -6.497 1.134 -3.648
Er -3.287 -2.521 -2.462
Er -5.022 -1.568 -5.397
Er -4.762 0.181 -0.713
Er -12.996 -3.852 -5.011
Er -6.573 1.077 -7.207
Er -12.474 1.675 -7.103
Er -7.095 -4.449 -5.116
Er -10.002 -2.852 -10.034
Er -9.567 0.078 -2.185
Mg -16.227 -2.300 -10.132
Mg -13.236 -2.603 -10.185
Mg -14.489 -0.309 -8.699
Mg -14.754 -3.110 -7.639
Co -7.643 -1.084 -4.772
Co -11.773 -0.665 -4.700
Co -10.043 -3.833 -6.751
Co -9.678 0.034 -8.214
```

Values from the calculation:
SG: F-43m, No. 216
Total DFT energy (no corrections), eV for the cell shown: -111.73
Formation enthalpy at 0 K, eV per atom: -0.163

***

# ErMgCo

ErMgCo after structural relaxation (PBE-GGA, the Alexandria database).

extended XYZ file:
```
6
Lattice="-0.452 3.738 -0.369 0.890 -0.263 -3.753 -8.662 -1.045 0.010" Properties=species:S:1:pos:R:3 pbc="T T T"
Er -6.451 -0.168 -3.509
Er -1.772 2.598 -0.602
Mg -5.241 2.101 -1.390
Mg -2.983 0.328 -2.721
Co -0.285 0.715 -2.109
Co -7.938 1.715 -2.002
```

Values from the calculation:
SG: Cmcm, No. 63
Total DFT energy (no corrections), eV for the cell shown: -27.67
Formation enthalpy at 0 K, eV per atom: -0.191

***

# Er3MgCo

Er3MgCo after structural relaxation (PBE-GGA, the Alexandria database).

extended XYZ file:
```
10
Lattice="3.687 -0.001 -0.001 0.001 8.854 0.006 0.002 3.084 8.300" Properties=species:S:1:pos:R:3 pbc="T T T"
Er 3.185 5.727 6.894
Er 3.184 2.314 5.498
Er 3.183 5.658 0.691
Er 1.342 8.912 0.368
Er 3.184 8.153 3.406
Er 1.342 4.900 3.730
Mg 1.340 8.447 6.201
Mg 3.185 2.477 2.048
Co 1.340 6.906 2.049
Co 1.341 4.021 6.196
```

Values from the calculation:
SG: Cmmm, No. 65
Total DFT energy (no corrections), eV for the cell shown: -45.36
Formation enthalpy at 0 K, eV per atom: -0.058

***

# Er2MgCo

Er2MgCo after structural relaxation (PBE-GGA, the Alexandria database).

extended XYZ file:
```
4
Lattice="-2.798 1.558 -1.785 -3.383 -0.150 1.406 -0.441 8.864 4.663" Properties=species:S:1:pos:R:3 pbc="T T T"
Mg 0.000 0.000 0.000
Co -3.312 5.136 2.142
Er -1.004 5.950 3.000
Er -5.620 4.323 1.284
```

Values from the calculation:
SG: R-3m, No. 166
Total DFT energy (no corrections), eV for the cell shown: -17.37
Formation enthalpy at 0 K, eV per atom: 0.113

***

# Er3MgCo

Er3MgCo after structural relaxation (PBE-GGA, the Alexandria database).

extended XYZ file:
```
5
Lattice="5.159 0.000 0.000 0.000 5.159 0.000 0.000 0.000 5.159" Properties=species:S:1:pos:R:3 pbc="T T T"
Mg 2.580 2.580 2.580
Co 0.000 0.000 0.000
Er 0.000 2.580 0.000
Er 0.000 0.000 2.580
Er 2.580 0.000 0.000
```

Values from the calculation:
SG: Pm-3m, No. 221
Total DFT energy (no corrections), eV for the cell shown: -22.69
Formation enthalpy at 0 K, eV per atom: -0.060

***

# Er4MgCo2

Er4MgCo2 after structural relaxation (PBE-GGA, the Alexandria database).

extended XYZ file:
```
14
Lattice="7.046 0.591 0.750 0.085 7.060 -0.739 -2.976 -4.371 7.171" Properties=species:S:1:pos:R:3 pbc="T T T"
Er 5.498 0.205 2.536
Er 2.007 3.580 1.764
Er 3.914 1.638 5.666
Er 4.211 -1.694 5.041
Er 1.749 0.173 3.133
Er 0.536 -2.232 5.756
Er 0.262 1.488 6.349
Er 5.327 3.564 1.081
Mg -0.635 2.263 3.348
Mg 0.929 1.052 0.138
Co 2.130 -0.216 5.695
Co 3.697 5.521 1.738
Co 3.389 1.336 1.174
Co -0.777 -0.211 4.379
```

Values from the calculation:
SG: P1, No. 1
Total DFT energy (no corrections), eV for the cell shown: -68.74
Formation enthalpy at 0 K, eV per atom: -0.044

***

> The highest formation enthalpy at 0 K belongs to which entry?

Er2MgCo